A plane-wave DFT calculation with GGA+U was carried out for a relaxed structure of BeNiPO2.

The structure belongs to space group P4/mmm (No. 123); the cell edges are 3.531, 3.531 and 4.840 Å and the angles 90.00°, 90.00° and 90.00°. The inequivalent atoms are Be at (0.000, 0.000, 0.000), Ni at (0.500, 0.500, 0.500), P at (0.500, 0.500, 0.000) and O at (0.000, 0.500, 0.500).

For the total moment, the calculation gives 0.72 μB per formula unit. The value obtained for the energy above the most stable polymorph in this dataset is 488 meV per atom. The mass density is 3.596 Mg/m³. Its final energy is -0.145 hartree per atom.